Tl2FeTc | PBE | relaxed

a b c (Å): 6.4574 6.6803 3.3629
angles (deg): 90.00 90.19 90.00
Last column: nearest neighbours and their distance in Å.
Space group C2/m (No. 12)
Unique sites:
Tl 0.2500 0.2500 0.0000 [4 per cell]  4 Tc 2.86-2.87, 4 Fe 2.86-2.87
Fe 0.0000 0.0000 0.5000 [2 per cell]  8 Tl 2.86-2.87
Tc 0.0000 0.5000 0.5000 [2 per cell]  8 Tl 2.86-2.87

Results
Its calculated density is 12.88 Mg/m³. Its density of states at the Fermi level is 1.07 states/eV per atom. The value obtained for the magnetization is 5.5 μB per cell. The calculation puts the relative energy among the computed polymorphs at 320 meV/atom. The calculation puts the total DFT energy (no corrections) at -5.111 eV/atom. For the formation energy, the calculation gives 0.779 eV/atom.